# 1
Crystalline Ir3Se at its relaxed geometry. Source: Alexandria via LeMat-Bulk, functional PBE-GGA.

The structure in CIF format:
```
data_Ir3Se
_chemical_formula_sum 'Ir6 Se2'
_space_group_name_H-M_alt 'P m m n'
_space_group_IT_number 59
_cell_length_a 4.546
_cell_length_b 5.662
_cell_length_c 4.790
_cell_angle_alpha 90.00
_cell_angle_beta 90.00
_cell_angle_gamma 90.00
loop_
_space_group_symop_operation_xyz
'x,y,z'
'-x,-y,-z'
'-x+1/2,-y+1/2,z'
'x+1/2,y+1/2,-z'
'x+1/2,-y,-z'
'-x+1/2,y,z'
'-x,y+1/2,-z'
'x,-y+1/2,z'
loop_
_atom_site_label
_atom_site_type_symbol
_atom_site_fract_x
_atom_site_fract_y
_atom_site_fract_z
_atom_site_occupancy
Ir1 Ir 0.250 0.000 0.190 1
Ir2 Ir 0.250 0.250 0.703 1
Se1 Se 0.250 0.750 0.714 1
```

Results
Its total energy is -6.94 eV/atom. The uncorrected formation energy is 0.57 eV per atom. The crystal system is orthorhombic.

***

# 2
Crystalline TcTeAu2 at its relaxed geometry. Source: Alexandria via LeMat-Bulk, functional PBE-GGA.

The structure in CIF format:
```
data_TcTeAu2
_chemical_formula_sum 'Tc3 Te3 Au6'
_space_group_name_H-M_alt 'R 3 m'
_space_group_IT_number 160
_space_group_name_Hall 'R 3 -2"'
_cell_length_a 3.1833
_cell_length_b 3.1833
_cell_length_c 27.6054
_cell_angle_alpha 90.00
_cell_angle_beta 90.00
_cell_angle_gamma 120.00
loop_
_atom_site_label
_atom_site_type_symbol
_atom_site_fract_x
_atom_site_fract_y
_atom_site_fract_z
_atom_site_occupancy
Tc1 Tc 0.0000 0.0000 0.0000 1
Te1 Te 0.0000 0.0000 0.7344 1
Au1 Au 0.0000 0.0000 0.2549 1
Au2 Au 0.0000 0.0000 0.5087 1
```

Results
Its total energy is -4.72 eV/atom. The uncorrected formation energy is 0.30 eV per atom. The crystal system is trigonal.

***

# 3
Crystalline V5Co8Ir at its relaxed geometry. Source: Alexandria via LeMat-Bulk, functional PBE-GGA.

The structure in CIF format:
```
data_V5Co8Ir
_chemical_formula_sum 'V10 Co16 Ir2'
_space_group_name_H-M_alt 'I -4'
_space_group_IT_number 82
_cell_length_a 6.886
_cell_length_b 6.886
_cell_length_c 7.183
_cell_angle_alpha 90.00
_cell_angle_beta 90.00
_cell_angle_gamma 90.00
loop_
_space_group_symop_operation_xyz
'x,y,z'
'y,-x,-z'
'-x,-y,z'
'-y,x,-z'
'x+1/2,y+1/2,z+1/2'
'y+1/2,-x+1/2,-z+1/2'
'-x+1/2,-y+1/2,z+1/2'
'-y+1/2,x+1/2,-z+1/2'
loop_
_atom_site_label
_atom_site_type_symbol
_atom_site_fract_x
_atom_site_fract_y
_atom_site_fract_z
_atom_site_occupancy
V1 V 0.000 0.000 0.000 1
V2 V 0.139 0.227 0.573 1
Co1 Co 0.073 0.332 0.892 1
Co2 Co 0.092 0.156 0.261 1
Ir1 Ir 0.000 0.500 0.250 1
```

Results
Its total energy is -7.82 eV/atom. The crystal system is tetragonal.

***

# 4
Crystalline Co2CuRhC at its relaxed geometry. Source: Alexandria via LeMat-Bulk, functional PBE-GGA.

The structure in CIF format:
```
data_Co2CuRhC
_chemical_formula_sum 'Co2 Cu1 Rh1 C1'
_space_group_name_H-M_alt 'P 4/m m m'
_space_group_IT_number 123
_space_group_name_Hall '-P 4 2'
_cell_length_a 4.670
_cell_length_b 4.670
_cell_length_c 3.746
_cell_angle_alpha 90.00
_cell_angle_beta 90.00
_cell_angle_gamma 90.00
loop_
_atom_site_label
_atom_site_type_symbol
_atom_site_fract_x
_atom_site_fract_y
_atom_site_fract_z
_atom_site_occupancy
Co1 Co 0.000 0.500 0.000 1
Cu1 Cu 0.000 0.000 0.500 1
Rh1 Rh 0.500 0.500 0.000 1
C1 C 0.500 0.500 0.500 1
```

Results
Its total energy is -5.44 eV/atom. The crystal system is tetragonal.

***

# 5
Crystalline ScCo2Si at its relaxed geometry. Source: Alexandria via LeMat-Bulk, functional PBE-GGA.

The structure in CIF format:
```
data_ScCo2Si
_chemical_formula_sum 'Sc4 Co8 Si4'
_space_group_name_H-M_alt 'I -4 2 d'
_space_group_IT_number 122
_space_group_name_Hall 'I -4 2bw'
_cell_length_a 6.568
_cell_length_b 6.568
_cell_length_c 5.418
_cell_angle_alpha 90.00
_cell_angle_beta 90.00
_cell_angle_gamma 90.00
loop_
_atom_site_label
_atom_site_type_symbol
_atom_site_fract_x
_atom_site_fract_y
_atom_site_fract_z
_atom_site_occupancy
Sc1 Sc 0.000 0.000 0.000 1
Co1 Co 0.193 0.750 0.625 1
Si1 Si 0.000 0.000 0.500 1
```

Results
Its total energy is -6.57 eV/atom. The uncorrected formation energy is -0.07 eV per atom. The crystal system is tetragonal.

***

# 6
Crystalline CdBW at its relaxed geometry. Source: Alexandria via LeMat-Bulk, functional PBE-GGA.

The structure in CIF format:
```
data_CdBW
_chemical_formula_sum 'Cd2 B2 W2'
_space_group_name_H-M_alt 'P 1 m 1'
_space_group_IT_number 6
_cell_length_a 5.239
_cell_length_b 3.201
_cell_length_c 5.784
_cell_angle_alpha 90.00
_cell_angle_beta 98.22
_cell_angle_gamma 90.00
loop_
_space_group_symop_operation_xyz
'x,y,z'
'x,-y,z'
loop_
_atom_site_label
_atom_site_type_symbol
_atom_site_fract_x
_atom_site_fract_y
_atom_site_fract_z
_atom_site_occupancy
Cd1 Cd 0.000 0.000 0.000 1
Cd2 Cd 0.475 0.500 0.862 1
B1 B 0.351 0.500 0.419 1
B2 B 0.826 0.500 0.433 1
W1 W 0.106 0.000 0.519 1
W2 W 0.574 0.000 0.292 1
```

Results
Its total energy is -6.57 eV/atom. The crystal system is monoclinic.

***

# 7
Crystalline TlCuCl3 at its relaxed geometry. Source: Alexandria via LeMat-Bulk, functional PBE-GGA.

The structure in CIF format:
```
data_TlCuCl3
_chemical_formula_sum 'Tl6 Cu6 Cl18'
_space_group_name_H-M_alt 'R -3'
_space_group_IT_number 148
_space_group_name_Hall '-R 3'
_cell_length_a 6.5771
_cell_length_b 6.5771
_cell_length_c 21.4594
_cell_angle_alpha 90.00
_cell_angle_beta 90.00
_cell_angle_gamma 120.00
loop_
_atom_site_label
_atom_site_type_symbol
_atom_site_fract_x
_atom_site_fract_y
_atom_site_fract_z
_atom_site_occupancy
Tl1 Tl 0.0000 0.0000 0.1397 1
Cu1 Cu 0.0000 0.0000 0.3337 1
Cl1 Cl 0.0011 0.3876 0.9354 1
```

Results
Its total energy is -3.03 eV/atom. The uncorrected formation energy is -0.63 eV per atom. The crystal system is trigonal.

***

# 8
Crystalline BeCd2Ru at its relaxed geometry. Source: Alexandria via LeMat-Bulk, functional PBE-GGA.

The structure in CIF format:
```
data_BeCd2Ru
_chemical_formula_sum 'Be1 Cd2 Ru1'
_space_group_name_H-M_alt 'P 1 2/m 1'
_space_group_IT_number 10
_cell_length_a 2.899
_cell_length_b 4.263
_cell_length_c 5.354
_cell_angle_alpha 90.00
_cell_angle_beta 104.43
_cell_angle_gamma 90.00
loop_
_space_group_symop_operation_xyz
'x,y,z'
'-x,-y,-z'
'-x,y,-z'
'x,-y,z'
loop_
_atom_site_label
_atom_site_type_symbol
_atom_site_fract_x
_atom_site_fract_y
_atom_site_fract_z
_atom_site_occupancy
Be1 Be 0.000 0.000 0.000 1
Cd1 Cd 0.382 0.500 0.240 1
Ru1 Ru 0.000 0.000 0.500 1
```

Results
Its total energy is -3.30 eV/atom. The crystal system is monoclinic.

***

# 9
Crystalline ErPaInAu at its relaxed geometry. Source: Alexandria via LeMat-Bulk, functional PBE-GGA.

The structure in CIF format:
```
data_ErPaInAu
_chemical_formula_sum 'Er4 Pa4 In4 Au4'
_space_group_name_H-M_alt 'F -4 3 m'
_space_group_IT_number 216
_space_group_name_Hall 'F -4 2 3'
_cell_length_a 7.373
_cell_length_b 7.373
_cell_length_c 7.373
_cell_angle_alpha 90.00
_cell_angle_beta 90.00
_cell_angle_gamma 90.00
loop_
_atom_site_label
_atom_site_type_symbol
_atom_site_fract_x
_atom_site_fract_y
_atom_site_fract_z
_atom_site_occupancy
Er1 Er 0.000 0.000 0.000 1
Pa1 Pa 0.000 0.000 0.500 1
In1 In 0.250 0.250 0.750 1
Au1 Au 0.250 0.250 0.250 1
```

Results
Its total energy is -5.22 eV/atom. The crystal system is cubic.

***

# 10
Crystalline KTaAs3 at its relaxed geometry. Source: Alexandria via LeMat-Bulk, functional PBE-GGA.

The structure in CIF format:
```
data_KTaAs3
_chemical_formula_sum 'K1 Ta1 As3'
_space_group_name_H-M_alt 'P m -3 m'
_space_group_IT_number 221
_space_group_name_Hall '-P 4 2 3'
_cell_length_a 5.079
_cell_length_b 5.079
_cell_length_c 5.079
_cell_angle_alpha 90.00
_cell_angle_beta 90.00
_cell_angle_gamma 90.00
loop_
_atom_site_label
_atom_site_type_symbol
_atom_site_fract_x
_atom_site_fract_y
_atom_site_fract_z
_atom_site_occupancy
K1 K 0.000 0.000 0.000 1
Ta1 Ta 0.500 0.500 0.500 1
As1 As 0.000 0.500 0.500 1
```

Results
Its total energy is -5.53 eV/atom. The crystal system is cubic.

***

# 11
Crystalline Sr12Li3H5 at its relaxed geometry. Source: Alexandria via LeMat-Bulk, functional PBE-GGA.

The structure in CIF format:
```
data_Sr12Li3H5
_chemical_formula_sum 'Sr96 Li24 H40'
_space_group_name_H-M_alt 'I a -3 d'
_space_group_IT_number 230
_space_group_name_Hall '-I 4bd 2c 3'
_cell_length_a 17.621
_cell_length_b 17.621
_cell_length_c 17.621
_cell_angle_alpha 90.00
_cell_angle_beta 90.00
_cell_angle_gamma 90.00
loop_
_atom_site_label
_atom_site_type_symbol
_atom_site_fract_x
_atom_site_fract_y
_atom_site_fract_z
_atom_site_occupancy
Sr1 Sr 0.039 0.052 0.653 1
Li1 Li 0.000 0.250 0.125 1
H1 H 0.000 0.000 0.000 1
H2 H 0.000 0.250 0.375 1
```

Results
Its total energy is -2.26 eV/atom. The crystal system is cubic.

***

# 12
Crystalline ScNiAs2 at its relaxed geometry. Source: Alexandria via LeMat-Bulk, functional PBE-GGA.

The structure in CIF format:
```
data_ScNiAs2
_chemical_formula_sum 'Sc1 Ni1 As2'
_space_group_name_H-M_alt 'P m m m'
_space_group_IT_number 47
_cell_length_a 3.553
_cell_length_b 4.268
_cell_length_c 4.280
_cell_angle_alpha 90.00
_cell_angle_beta 90.00
_cell_angle_gamma 90.00
loop_
_space_group_symop_operation_xyz
'x,y,z'
'-x,-y,-z'
'-x,-y,z'
'x,y,-z'
'x,-y,-z'
'-x,y,z'
'-x,y,-z'
'x,-y,z'
loop_
_atom_site_label
_atom_site_type_symbol
_atom_site_fract_x
_atom_site_fract_y
_atom_site_fract_z
_atom_site_occupancy
Sc1 Sc 0.000 0.000 0.000 1
Ni1 Ni 0.000 0.500 0.500 1
As1 As 0.500 0.000 0.500 1
As2 As 0.500 0.500 0.000 1
```

Results
Its total energy is -5.86 eV/atom. The crystal system is orthorhombic.